No. 1
Here is TbOsC after structural relaxation from Alexandria via LeMat-Bulk. Energies are from PBE-GGA.

Values from the calculation:
offset from the most stable computed form: 0.00 eV/f.u.
DOS(E_F): 2.3 states/eV/f.u.
calculated formation energy: 0.023 eV/atom
magnetization: 0.000 μB per formula unit

a = 4.6409 Å, b = 3.4823 Å, c = 3.4823 Å
α = 120.00°, β = 90.00°, γ = 90.00°
Fractional positions:
Tb: 0.6872 0.3333 0.6667
C: 0.1377 0.6667 0.3333
Os: 0.1751 0.0000 0.0000

---

No. 2
Here is Cs2KTl5In2 after structural relaxation from Alexandria via LeMat-Bulk. Energies are from PBE-GGA.

Values from the calculation:
DOS(E_F): 6.2 states/eV/f.u.
calculated formation energy: -0.049 eV/atom
magnetization: 0.000 μB per formula unit

a = 4.2496 Å, b = 13.5087 Å, c = 13.5087 Å
α = 90.00°, β = 90.00°, γ = 90.00°
Fractional positions:
K: 0.0000 0.0000 0.0000
K: 0.0000 0.5000 0.5000
In: 0.0000 0.6198 0.8802
In: 0.0000 0.1198 0.6198
In: 0.0000 0.3802 0.1198
In: 0.0000 0.8802 0.3802
Tl: 0.5000 0.0000 0.5000
Tl: 0.5000 0.4421 0.2811
Tl: 0.5000 0.2189 0.0579
Tl: 0.5000 0.9421 0.2189
Tl: 0.5000 0.5000 0.0000
Tl: 0.5000 0.7189 0.4421
Tl: 0.5000 0.2811 0.5579
Tl: 0.5000 0.5579 0.7189
Tl: 0.5000 0.0579 0.7811
Tl: 0.5000 0.7811 0.9421
Cs: 0.0000 0.8198 0.6802
Cs: 0.0000 0.6802 0.1802
Cs: 0.0000 0.1802 0.3198
Cs: 0.0000 0.3198 0.8198